Run one
# Ho3InHg4

Crystalline Ho3InHg4 at its relaxed geometry (GGA-PBE, Alexandria).

As for the magnetization: 0.000 μB/cell.

The space group is Immm (No. 71) and the conventional cell measures 3.582, 9.392 and 12.610 Å, with angles of 90.00, 90.00 and 90.00 degrees. The asymmetric unit holds Ho at (0.000, 0.000, 0.000), Ho at (0.000, 0.500, 0.208), In at (0.000, 0.000, 0.500) and Hg at (0.000, 0.270, 0.371).

***

Run two
# Ho3InHg4

Crystalline Ho3InHg4 at its relaxed geometry (GGA-PBE, Alexandria).

As for the magnetization: 0.000 μB/cell.

The space group is R-3m (No. 166, hexagonal axes) and the conventional cell measures 5.1343, 5.1343 and 26.1164 Å, with angles of 90.00, 90.00 and 120.00 degrees. The asymmetric unit holds Ho at (0.0000, 0.0000, 0.0000), Ho at (0.0000, 0.0000, 0.2431), In at (0.0000, 0.0000, 0.5000), Hg at (0.0000, 0.0000, 0.1207) and Hg at (0.0000, 0.0000, 0.3683).

***

Going by the energies, run two is most stable and the next is 118 meV per atom up.

***

Run one
# Ho4HgIr

Crystalline Ho4HgIr at its relaxed geometry (GGA-PBE, Alexandria).

As for the magnetization: 0.000 μB/cell.

The space group is F-43m (No. 216) and the conventional cell measures 13.499, 13.499 and 13.499 Å, with angles of 90.00, 90.00 and 90.00 degrees. The asymmetric unit holds Ho at (0.000, 0.000, 0.188), Ho at (0.060, 0.250, 0.250), Ho at (0.101, 0.101, 0.601), Hg at (0.165, 0.165, 0.835) and Ir at (0.108, 0.108, 0.392).

***

Run two
# Ho4HgIr

Crystalline Ho4HgIr at its relaxed geometry (GGA-PBE, Alexandria).

As for the magnetization: 0.000 μB/cell.

The space group is P2_1/c (No. 14) and the conventional cell measures 7.293, 6.975 and 6.908 Å, with angles of 90.00, 92.36 and 90.00 degrees. The asymmetric unit holds Ho at (0.141, 0.158, 0.174), Ho at (0.318, 0.647, 0.130), Hg at (0.500, 0.000, 0.000) and Ir at (0.000, 0.000, 0.500).

***

Going by the energies, run one is most stable and the next is 178 meV per atom up.